CsKZnO2 (GGA-PBE, optimized geometry); space-group type = No. 51; ΔE_f (raw) = -92.7 kJ per mole of atoms; VASP energy = -3.589 eV/atom; volume = 22.9 A^3/atom
1.0
5.808 0.000 0.000
0.000 6.976 0.000
0.000 0.000 5.654
Cs K Zn O
2 2 2 4
direct
0.250 0.000 0.209
0.750 0.000 0.791
0.250 0.500 0.506
0.750 0.500 0.494
0.000 0.500 0.000
0.500 0.500 0.000
0.250 0.307 0.887
0.250 0.693 0.887
0.750 0.307 0.113
0.750 0.693 0.113